Zn3Se | GGA-PBE | optimized geometry

Computed properties:
Density of states at the Fermi level: 0.29 states/eV per atom
Polymorph energy (0 for the lowest one): 0.93 eV/f.u.
Uncorrected formation energy: 0.07 eV/atom
Total moment: 0.000 μB/f.u.

```
data_Zn3Se
_chemical_formula_sum 'Zn12 Se4'
_cell_length_a 6.8269
_cell_length_b 6.8269
_cell_length_c 7.5258
_cell_angle_alpha 90.00
_cell_angle_beta 90.00
_cell_angle_gamma 120.00
_space_group_name_H-M_alt 'P 63/m m c'
_space_group_IT_number 194
_space_group_name_Hall '-P 6c 2c'
loop_
_atom_site_label
_atom_site_fract_x
_atom_site_fract_y
_atom_site_fract_z
Zn1 0.0000 0.5000 0.0000
Zn2 0.1784 0.3569 0.2500
Se1 0.0000 0.0000 0.0000
Se2 0.3333 0.6667 0.7500
```

Sc2BiTeO | GGA-PBE | optimized geometry

Computed properties:
Density of states at the Fermi level: 1.06 states/eV per atom
Uncorrected formation energy: -0.89 eV/atom
Total moment: 0.000 μB/f.u.

```
data_Sc2BiTeO
_chemical_formula_sum 'Sc2 Bi1 Te1 O1'
_cell_length_a 4.441
_cell_length_b 4.441
_cell_length_c 5.722
_cell_angle_alpha 90.00
_cell_angle_beta 90.00
_cell_angle_gamma 90.00
_space_group_name_H-M_alt 'P 4/m m m'
_space_group_IT_number 123
_space_group_name_Hall '-P 4 2'
loop_
_atom_site_label
_atom_site_fract_x
_atom_site_fract_y
_atom_site_fract_z
Sc1 0.000 0.500 0.000
Bi1 0.000 0.000 0.500
Te1 0.500 0.500 0.500
O1 0.000 0.000 0.000
```